Record 1
First-principles (GGA-PBE) data for a relaxed BaAcSnGe crystal, as listed in Alexandria via LeMat-Bulk.

```
data_BaAcSnGe
_chemical_formula_sum 'Ba4 Ac4 Sn4 Ge4'
_symmetry_space_group_name_H-M 'P 1'
_symmetry_Int_Tables_number 1
_cell_length_a 8.148
_cell_length_b 8.148
_cell_length_c 8.148
_cell_angle_alpha 90.00
_cell_angle_beta 90.00
_cell_angle_gamma 90.00
loop_
_symmetry_equiv_pos_as_xyz
'x,y,z'
loop_
_atom_site_label
_atom_site_fract_x
_atom_site_fract_y
_atom_site_fract_z
Ba1 0.000 0.000 0.000
Ba2 0.000 0.500 0.500
Ba3 0.500 0.000 0.500
Ba4 0.500 0.500 0.000
Ac1 0.000 0.000 0.500
Ac2 0.000 0.500 0.000
Ac3 0.500 0.000 0.000
Ac4 0.500 0.500 0.500
Sn1 0.250 0.250 0.750
Sn2 0.250 0.750 0.250
Sn3 0.750 0.250 0.250
Sn4 0.750 0.750 0.750
Ge1 0.250 0.250 0.250
Ge2 0.250 0.750 0.750
Ge3 0.750 0.250 0.750
Ge4 0.750 0.750 0.250
```

- Energy of formation from the pure elements: -442 meV/atom

Record 2
First-principles (GGA-PBE) data for a relaxed ZnMoSe2 crystal, as listed in Alexandria via LeMat-Bulk.

```
data_ZnMoSe2
_chemical_formula_sum 'Zn1 Mo1 Se2'
_symmetry_space_group_name_H-M 'P 1'
_symmetry_Int_Tables_number 1
_cell_length_a 3.088
_cell_length_b 3.088
_cell_length_c 8.747
_cell_angle_alpha 90.00
_cell_angle_beta 90.00
_cell_angle_gamma 90.00
loop_
_symmetry_equiv_pos_as_xyz
'x,y,z'
loop_
_atom_site_label
_atom_site_fract_x
_atom_site_fract_y
_atom_site_fract_z
Zn1 0.000 0.000 0.000
Mo1 0.000 0.000 0.500
Se1 0.500 0.500 0.323
Se2 0.500 0.500 0.677
```

- Formation energy without anion corrections: -111 meV/atom

Record 3
First-principles (GGA-PBE) data for a relaxed Y2MgPdPb crystal, as listed in Alexandria via LeMat-Bulk.

```
data_Y2MgPdPb
_chemical_formula_sum 'Y2 Mg1 Pd1 Pb1'
_symmetry_space_group_name_H-M 'P 1'
_symmetry_Int_Tables_number 1
_cell_length_a 5.383
_cell_length_b 5.383
_cell_length_c 4.984
_cell_angle_alpha 90.00
_cell_angle_beta 90.00
_cell_angle_gamma 90.00
loop_
_symmetry_equiv_pos_as_xyz
'x,y,z'
loop_
_atom_site_label
_atom_site_fract_x
_atom_site_fract_y
_atom_site_fract_z
Y1 0.000 0.500 0.000
Y2 0.500 0.000 0.000
Mg1 0.000 0.000 0.500
Pd1 0.000 0.000 0.000
Pb1 0.500 0.500 0.500
```

- Energy of formation from the pure elements: -343 meV/atom